Compound: CsCa
Source: Alexandria via LeMat-Bulk
Functional: GGA-PBE
Structure: optimized geometry

Properties
The formation energy from the elements is 196 meV per atom. The value obtained for the density is 2.057 g/cm³. The symmetry is Pnma, No. 62. The total magnetic moment comes out at 0.000 μB/f.u.

Cell: 15.663 4.439 16.069 Å, 90.00 90.00 90.00°
Atoms (fractional coordinates):
Cs1 0.377 0.250 0.279
Cs2 0.877 0.250 0.221
Cs3 0.623 0.750 0.721
Cs4 0.123 0.750 0.779
Cs5 0.152 0.250 0.066
Cs6 0.652 0.250 0.434
Cs7 0.848 0.750 0.934
Cs8 0.348 0.750 0.566
Ca1 0.384 0.250 0.835
Ca2 0.884 0.250 0.665
Ca3 0.616 0.750 0.165
Ca4 0.116 0.750 0.335
Ca5 0.092 0.250 0.530
Ca6 0.592 0.250 0.970
Ca7 0.908 0.750 0.470
Ca8 0.408 0.750 0.030

Compound: YAg4
Source: Alexandria via LeMat-Bulk
Functional: GGA-PBE
Structure: optimized geometry

Properties
The formation energy from the elements is 1021 meV per atom. The value obtained for the density is 5.282 g/cm³. The symmetry is Pm-3m, No. 221. The total magnetic moment comes out at 0.000 μB/f.u.

Cell: 5.469 5.469 5.469 Å, 90.00 90.00 90.00°
Atoms (fractional coordinates):
Y1 0.500 0.500 0.500
Ag1 0.000 0.000 0.000
Ag2 0.500 0.000 0.500
Ag3 0.000 0.500 0.500
Ag4 0.500 0.500 0.000

Compound: Li5SnPb2
Source: Alexandria via LeMat-Bulk
Functional: GGA-PBE
Structure: optimized geometry

Properties
The formation energy from the elements is -314 meV per atom. The value obtained for the density is 5.835 g/cm³. The symmetry is I4/mmm, No. 139. The total magnetic moment comes out at 0.000 μB/f.u.

Cell: 4.889 4.889 7.594 Å, 108.78 108.78 90.00°
Atoms (fractional coordinates):
Li1 0.500 0.500 0.000
Li2 0.883 0.383 0.765
Li3 0.383 0.883 0.765
Li4 0.117 0.617 0.235
Li5 0.617 0.117 0.235
Sn1 0.000 0.000 0.000
Pb1 0.748 0.748 0.497
Pb2 0.252 0.252 0.503

Compound: Er3As2Rh6
Source: Alexandria via LeMat-Bulk
Functional: GGA-PBE
Structure: optimized geometry

Properties
The formation energy from the elements is -715 meV per atom. The value obtained for the density is 10.696 g/cm³. The symmetry is Im-3m, No. 229. The total magnetic moment comes out at 0.001 μB/f.u.

Cell: 7.999 7.999 7.999 Å, 109.47 109.47 109.47°
Atoms (fractional coordinates):
Er1 0.717 0.000 0.717
Er2 0.283 0.000 0.283
Er3 0.000 0.283 0.283
Er4 0.000 0.717 0.717
Er5 0.283 0.283 0.000
Er6 0.717 0.717 0.000
As1 0.000 0.500 0.000
As2 0.500 0.000 0.000
As3 0.000 0.000 0.500
As4 0.500 0.500 0.500
Rh1 0.654 0.307 0.654
Rh2 0.654 0.000 0.346
Rh3 0.346 0.000 0.654
Rh4 0.346 0.693 0.346
Rh5 0.000 0.654 0.346
Rh6 0.693 0.346 0.346
Rh7 0.307 0.654 0.654
Rh8 0.000 0.346 0.654
Rh9 0.346 0.654 0.000
Rh10 0.654 0.654 0.307
Rh11 0.346 0.346 0.693
Rh12 0.654 0.346 0.000

Compound: Ca3DyAl8
Source: Alexandria via LeMat-Bulk
Functional: GGA-PBE
Structure: optimized geometry

Properties
The formation energy from the elements is -372 meV per atom. The value obtained for the density is 3.276 g/cm³. The symmetry is R3m, No. 160. The total magnetic moment comes out at 0.000 μB/f.u.

Cell: 5.621 5.621 9.790 Å, 73.32 73.32 60.00°
Atoms (fractional coordinates):
Ca1 0.375 0.375 0.875
Ca2 0.000 0.000 0.999
Ca3 0.500 0.500 0.500
Dy1 0.875 0.875 0.376
Al1 0.936 0.437 0.191
Al2 0.440 0.937 0.685
Al3 0.437 0.437 0.191
Al4 0.937 0.937 0.685
Al5 0.188 0.188 0.437
Al6 0.688 0.688 0.937
Al7 0.437 0.936 0.191
Al8 0.937 0.440 0.685

Compound: NaSnHg3
Source: Alexandria via LeMat-Bulk
Functional: GGA-PBE
Structure: optimized geometry

Properties
The formation energy from the elements is 82 meV per atom. The value obtained for the density is 6.545 g/cm³. The symmetry is Pm-3m, No. 221. The total magnetic moment comes out at 0.000 μB/f.u.

Cell: 5.735 5.735 5.735 Å, 90.00 90.00 90.00°
Atoms (fractional coordinates):
Na1 0.500 0.500 0.500
Hg1 0.000 0.500 0.000
Hg2 0.000 0.000 0.500
Hg3 0.500 0.000 0.000
Sn1 0.000 0.000 0.000

Compound: Sc3AlZn8
Source: Alexandria via LeMat-Bulk
Functional: GGA-PBE
Structure: optimized geometry

Properties
The formation energy from the elements is -253 meV per atom. The value obtained for the density is 5.667 g/cm³. The symmetry is R3m, No. 160. The total magnetic moment comes out at 0.000 μB/f.u.

Cell: 5.250 5.250 8.940 Å, 72.93 72.93 60.00°
Atoms (fractional coordinates):
Sc1 0.376 0.376 0.871
Sc2 0.996 0.996 0.011
Sc3 0.502 0.502 0.495
Al1 0.874 0.874 0.378
Zn1 0.937 0.438 0.186
Zn2 0.435 0.939 0.687
Zn3 0.438 0.438 0.186
Zn4 0.939 0.939 0.687
Zn5 0.187 0.187 0.438
Zn6 0.688 0.688 0.936
Zn7 0.438 0.937 0.186
Zn8 0.939 0.435 0.687

Compound: Li2Rh2Au
Source: Alexandria via LeMat-Bulk
Functional: GGA-PBE
Structure: optimized geometry

Properties
The formation energy from the elements is 33 meV per atom. The value obtained for the density is 10.346 g/cm³. The symmetry is P4/mbm, No. 127. The total magnetic moment comes out at 0.001 μB/f.u.

Cell: 6.581 6.581 3.088 Å, 90.00 90.00 90.00°
Atoms (fractional coordinates):
Rh1 0.177 0.677 0.500
Rh2 0.677 0.823 0.500
Rh3 0.823 0.323 0.500
Rh4 0.323 0.177 0.500
Au1 0.000 0.000 0.000
Au2 0.500 0.500 0.000
Li1 0.376 0.876 0.000
Li2 0.876 0.624 0.000
Li3 0.624 0.124 0.000
Li4 0.124 0.376 0.000

Compound: Hf3GaPb
Source: Alexandria via LeMat-Bulk
Functional: GGA-PBE
Structure: optimized geometry

Properties
The formation energy from the elements is 1364 meV per atom. The value obtained for the density is 9.037 g/cm³. The symmetry is Pm-3m, No. 221. The total magnetic moment comes out at 0.000 μB/f.u.

Cell: 5.305 5.305 5.305 Å, 90.00 90.00 90.00°
Atoms (fractional coordinates):
Pb1 0.000 0.000 0.000
Hf1 0.000 0.500 0.000
Hf2 0.000 0.000 0.500
Hf3 0.500 0.000 0.000
Ga1 0.500 0.500 0.500

Compound: TaCr2Ag
Source: Alexandria via LeMat-Bulk
Functional: GGA-PBE
Structure: optimized geometry

Properties
The formation energy from the elements is 551 meV per atom. The value obtained for the density is 10.955 g/cm³. The symmetry is C2/m, No. 12. The total magnetic moment comes out at 0.003 μB/f.u.

Cell: 5.218 5.169 2.633 Å, 80.04 80.69 117.62°
Atoms (fractional coordinates):
Ag1 0.500 0.500 0.000
Cr1 0.000 0.000 0.000
Cr2 0.500 0.000 0.500
Ta1 0.000 0.500 0.500

Compound: Li2SiAs
Source: Alexandria via LeMat-Bulk
Functional: GGA-PBE
Structure: optimized geometry

Properties
As for the formation energy without anion corrections: -1.1 eV per formula unit. The value obtained for the density is 3.197 g/cm³. The symmetry is P2/m, No. 10. The total magnetic moment comes out at 0.000 μB/f.u.

Cell: 4.107 2.673 6.235 Å, 62.49 90.00 90.00°
Atoms (fractional coordinates):
As1 0.500 0.750 0.750
Li1 0.000 0.000 0.005
Li2 0.000 0.500 0.495
Si1 0.500 0.250 0.250

Compound: Ce6Sb5N
Source: Alexandria via LeMat-Bulk
Functional: GGA-PBE
Structure: optimized geometry

Properties
As for the formation energy without anion corrections: -11.5 eV per formula unit. The value obtained for the density is 6.996 g/cm³. The symmetry is C2/m, No. 12. The total magnetic moment comes out at 4.970 μB/f.u.

Cell: 7.514 7.576 7.506 Å, 59.69 80.22 70.34°
Site moments in Bohr magnetons follow the coordinates.
Atoms (fractional coordinates):
Ce1 0.782 0.070 0.291  0.71
Ce2 0.218 0.639 0.291  0.71
Ce3 0.242 0.219 0.000  0.77
Ce4 0.758 0.781 0.000  0.77
Ce5 0.782 0.361 0.709  0.71
Ce6 0.218 0.930 0.709  0.71
Sb1 0.500 0.185 0.631  -0.03
Sb2 0.000 0.337 0.326  -0.03
Sb3 0.500 0.500 0.000  -0.03
Sb4 0.000 0.663 0.674  -0.03
Sb5 0.500 0.815 0.369  -0.03
N1 0.000 0.000 0.000  -0.07